A relaxed ZrTaPb crystal. Source: Alexandria via LeMat-Bulk, functional GGA-PBEsol.

theoretical density = 12.802 g/cm³
volume = 20.73 Å³ per atom
total moment = 0.0 μB per formula unit
excess energy over the best structure of this formula in the dataset = 0 kJ/mol of formula units
E_form = 0.086 eV/atom

Cell: 3.6365 3.6365 9.4040 Å, 90.00 90.00 90.00°
Space group I4mm (No. 107)
Asymmetric unit:
Zr 0.0000 0.0000 0.0000 (multiplicity 2)
Ta 0.0000 0.0000 0.3397 (multiplicity 2)
Pb 0.0000 0.0000 0.6749 (multiplicity 2)

A relaxed MnZn2Pt crystal. Source: Alexandria via LeMat-Bulk, functional GGA-PBEsol.

theoretical density = 11.529 g/cm³
volume = 13.71 Å³ per atom
total moment = 3.6 μB per formula unit
E_form = -0.236 eV/atom

Cell: 3.8839 3.8839 7.2727 Å, 90.00 90.00 90.00°
Space group I-4m2 (No. 119)
Asymmetric unit:
Mn 0.0000 0.0000 0.0000 (multiplicity 2)
Zn 0.0000 0.0000 0.5000 (multiplicity 2)
Zn 0.0000 0.5000 0.2500 (multiplicity 2)
Pt 0.0000 0.5000 0.7500 (multiplicity 2)

Which value of theoretical density does entry 1 give? 12.802 g/cm³